Density functional theory data (PBE) for a relaxed Tl2PO4 crystal.

extended XYZ file:
```
7
Lattice="6.326 0.000 0.000 0.000 6.326 0.000 0.000 0.000 3.829" Properties=species:S:1:pos:R:3 pbc="T T T"
Tl 0.000 3.163 0.000
Tl 3.163 0.000 0.000
P 0.000 0.000 1.915
O 1.134 1.134 1.915
O 1.134 5.193 1.915
O 5.193 1.134 1.915
O 5.193 5.193 1.915
```

## Properties
Energy relative to the elements, uncorrected ... -98.6 kJ per mole of atoms
DOS at the Fermi energy ... 0.25 states/eV/f.u.
M_tot ... 1.00 Bohr magnetons per cell
Space-group type ... P4/mmm
Excess energy over the best structure of this formula in the dataset ... 522 meV/atom

Density functional theory data (PBE) for a relaxed HfTa2Os crystal.

extended XYZ file:
```
4
Lattice="-1.621 2.283 4.805 1.621 -2.283 4.805 1.621 2.283 -4.805" Properties=species:S:1:pos:R:3 pbc="T T T"
Hf 0.000 0.000 0.000
Ta 1.621 0.000 2.519
Ta 0.000 2.283 2.286
Os 0.000 0.000 4.805
```

## Properties
Energy of formation ... -0.326 eV per atom
DOS at the Fermi energy ... 2.25 states/eV/f.u.
M_tot ... 0.00 Bohr magnetons per cell
Space-group type ... Immm

Density functional theory data (PBE) for a relaxed BaTaTlO4 crystal.

extended XYZ file:
```
14
Lattice="7.135 0.000 0.000 0.000 6.337 0.000 -2.749 0.000 7.530" Properties=species:S:1:pos:R:3 pbc="T T T"
Ba 1.230 1.584 0.941
Ba 3.155 4.753 6.589
Ta -0.392 4.753 6.507
Ta 4.777 1.584 1.023
Tl -0.214 1.584 4.833
Tl 4.599 4.753 2.697
O -1.568 3.273 6.392
O -1.568 6.233 6.392
O 0.899 4.753 5.191
O 3.259 4.753 0.605
O 1.127 1.584 6.925
O 3.486 1.584 2.339
O 5.953 0.105 1.138
O 5.953 3.064 1.138
```

## Properties
Energy relative to the elements, uncorrected ... -231.4 kJ per mole of atoms
DOS at the Fermi energy ... 0.00 states/eV/f.u.
M_tot ... 0.00 Bohr magnetons per cell
Space-group type ... P2_1/m

Density functional theory data (PBE) for a relaxed Li2TlRu crystal.

extended XYZ file:
```
4
Lattice="2.788 -4.091 0.000 2.788 4.091 0.000 0.000 0.000 2.855" Properties=species:S:1:pos:R:3 pbc="T T T"
Li 1.394 2.046 0.000
Li 1.394 -2.046 0.000
Tl 0.000 0.000 1.427
Ru 2.788 0.000 1.427
```

## Properties
Energy of formation ... 0.209 eV per atom
DOS at the Fermi energy ... 3.06 states/eV/f.u.
M_tot ... 0.26 Bohr magnetons per cell
Space-group type ... Cmmm